[1]
# LaSi2Ag2

A crystal of LaSi2Ag2 relaxed with PBEsol (SCAN, the Alexandria database).

POSCAR file:
```
LaSi2Ag2
1.0
-2.1255 2.1255 5.2641
2.1255 -2.1255 5.2641
2.1255 2.1255 -5.2641
La Si Ag
1 2 2
Cartesian
0.0000 0.0000 0.0000 La
0.0000 0.0000 4.0955 Si
0.0000 0.0000 6.4326 Si
2.1255 0.0000 2.6320 Ag
0.0000 2.1255 2.6320 Ag
```

Calculated values
ΔE_f (raw) = -0.499 eV per atom
Calculated density = 7.171 Mg/m³



[2]
# LaSi2Ag

A crystal of LaSi2Ag relaxed with PBEsol (SCAN, the Alexandria database).

POSCAR file:
```
LaSi2Ag
1.0
4.3802 0.0000 0.0000
0.0000 4.3802 0.0000
0.0000 0.0000 4.2023
La Si Ag
1 2 1
Cartesian
0.0000 0.0000 0.0000 La
0.0000 2.1901 2.1012 Si
2.1901 0.0000 2.1012 Si
2.1901 2.1901 0.0000 Ag
```

Calculated values
ΔE_f (raw) = -0.098 eV per atom
Calculated density = 6.239 Mg/m³



[3]
# La2Ag2Sn

A crystal of La2Ag2Sn relaxed with PBEsol (SCAN, the Alexandria database).

POSCAR file:
```
La2Ag2Sn
1.0
7.6246 0.0000 0.0000
0.0000 7.6246 0.0000
0.0000 0.0000 4.4053
La Ag Sn
4 4 2
Cartesian
1.3479 2.4644 0.0000 La
2.4644 6.2767 0.0000 La
5.1602 1.3479 0.0000 La
6.2767 5.1602 0.0000 La
0.9641 4.7764 2.2027 Ag
2.8482 0.9641 2.2027 Ag
4.7764 6.6605 2.2027 Ag
6.6605 2.8482 2.2027 Ag
0.0000 0.0000 2.2027 Sn
3.8123 3.8123 2.2027 Sn
```

Calculated values
Calculated density = 7.940 Mg/m³
E_form = -0.5402 eV/atom



[4]
# LaY2AgSn

A crystal of LaY2AgSn relaxed with PBEsol (SCAN, the Alexandria database).

POSCAR file:
```
LaY2AgSn
1.0
5.5552 0.0000 0.0000
0.0000 5.5552 0.0000
0.0000 0.0000 5.1892
La Y Ag Sn
1 2 1 1
Cartesian
0.0000 0.0000 0.0000 La
0.0000 2.7776 0.0000 Y
2.7776 0.0000 0.0000 Y
0.0000 0.0000 2.5946 Ag
2.7776 2.7776 2.5946 Sn
```

Calculated values
Calculated density = 5.634 Mg/m³
E_form = 0.8850 eV/atom



[5]
# SrLa2Ag

A crystal of SrLa2Ag relaxed with PBEsol (SCAN, the Alexandria database).

POSCAR file:
```
SrLa2Ag
1.0
3.7524 0.0000 0.0000
0.0000 3.7524 0.0000
0.0000 0.0000 9.3009
Sr La Ag
1 2 1
Cartesian
0.0000 0.0000 0.0000 Sr
0.0000 0.0000 3.7931 La
1.8762 1.8762 6.2090 La
1.8762 1.8762 2.0300 Ag
```

Calculated values
Calculated density = 6.001 Mg/m³
E_form = -0.1099 eV/atom



[6]
# SrLa2Ag

A crystal of SrLa2Ag relaxed with PBEsol (SCAN, the Alexandria database).

POSCAR file:
```
SrLa2Ag
1.0
5.3419 0.0000 0.0000
0.0000 5.3419 0.0000
0.0000 0.0000 4.4021
Sr La Ag
1 2 1
Cartesian
0.0000 0.0000 0.0000 Sr
0.0000 2.6709 2.2011 La
2.6709 0.0000 2.2011 La
2.6709 2.6709 0.0000 Ag
```

Calculated values
Calculated density = 6.256 Mg/m³
E_form = 0.1100 eV/atom



[7]
# Sr2LaAg

A crystal of Sr2LaAg relaxed with PBEsol (SCAN, the Alexandria database).

POSCAR file:
```
Sr2LaAg
1.0
0.0000 4.0405 4.0405
4.0405 0.0000 4.0405
4.0405 4.0405 0.0000
Sr La Ag
2 1 1
Cartesian
2.0203 2.0203 2.0203 Sr
6.0608 6.0608 6.0608 Sr
0.0000 0.0000 0.0000 La
4.0405 4.0405 4.0405 Ag
```

Calculated values
Calculated density = 5.312 Mg/m³
E_form = 0.2374 eV/atom



[8]
# SrLa2Ag

A crystal of SrLa2Ag relaxed with PBEsol (SCAN, the Alexandria database).

POSCAR file:
```
SrLa2Ag
1.0
-2.4209 2.4209 5.2816
2.4209 -2.4209 5.2816
2.4209 2.4209 -5.2816
Sr La Ag
1 2 1
Cartesian
0.0000 0.0000 0.0000 Sr
2.4209 0.0000 2.6408 La
0.0000 0.0000 5.2816 La
0.0000 2.4209 2.6408 Ag
```

Calculated values
Calculated density = 6.347 Mg/m³
E_form = 0.1430 eV/atom



Density of states at the Fermi level list, top to bottom, in states/eV/f.u.: 1.30 1.65 3.29 4.12 4.36 3.23 3.01 5.58